Material: Pm2Ga7Au12
Method: DFT, GGA-PBE
State: relaxed

Lattice parameters (Å, degrees): 10.5482 10.5482 4.2336 90.00 90.00 120.00
Fractional coordinates of all 21 atoms:
Pm1 0.3333 0.6667 0.2412
Pm2 0.6667 0.3333 0.7588
Ga1 0.0000 0.0000 0.5000
Ga2 0.1081 0.4019 0.7276
Ga3 0.2938 0.8919 0.7276
Ga4 0.4019 0.2938 0.2724
Ga5 0.5981 0.7062 0.7276
Ga6 0.7062 0.1081 0.2724
Ga7 0.8919 0.5981 0.2724
Au1 0.0753 0.6253 0.7583
Au2 0.1262 0.8662 0.2222
Au3 0.1338 0.2600 0.2222
Au4 0.2600 0.1262 0.7778
Au5 0.3747 0.4500 0.7583
Au6 0.4500 0.0753 0.2417
Au7 0.5500 0.9247 0.7583
Au8 0.6253 0.5500 0.2417
Au9 0.7400 0.8738 0.2222
Au10 0.8662 0.7400 0.7778
Au11 0.8738 0.1338 0.7778
Au12 0.9247 0.3747 0.2417

Computed properties:
Formation energy (meV per atom): -384
Crystal system: trigonal

---

Material: Pm3Ga5Au6
Method: DFT, GGA-PBE
State: relaxed

Lattice parameters (Å, degrees): 4.4015 13.5405 9.6317 90.00 90.00 90.00
Fractional coordinates of all 28 atoms:
Pm1 0.2500 0.0723 0.2410
Pm2 0.2500 0.4277 0.2410
Pm3 0.2500 0.7500 0.2477
Pm4 0.7500 0.2500 0.7523
Pm5 0.7500 0.5723 0.7590
Pm6 0.7500 0.9277 0.7590
Ga1 0.2500 0.0826 0.8604
Ga2 0.2500 0.4174 0.8604
Ga3 0.2500 0.6383 0.5474
Ga4 0.2500 0.7500 0.7975
Ga5 0.2500 0.8617 0.5474
Ga6 0.7500 0.1383 0.4526
Ga7 0.7500 0.2500 0.2025
Ga8 0.7500 0.3617 0.4526
Ga9 0.7500 0.5826 0.1396
Ga10 0.7500 0.9174 0.1396
Au1 0.2500 0.0568 0.5944
Au2 0.2500 0.2500 0.0169
Au3 0.2500 0.2500 0.4867
Au4 0.2500 0.4432 0.5944
Au5 0.2500 0.5972 0.9978
Au6 0.2500 0.9028 0.9978
Au7 0.7500 0.0972 0.0022
Au8 0.7500 0.4028 0.0022
Au9 0.7500 0.5568 0.4056
Au10 0.7500 0.7500 0.5133
Au11 0.7500 0.7500 0.9831
Au12 0.7500 0.9432 0.4056

Computed properties:
Formation energy (meV per atom): -640
Crystal system: orthorhombic

---

Material: PmGa3Au
Method: DFT, GGA-PBE
State: relaxed

Lattice parameters (Å, degrees): 12.1813 12.1813 4.2348 90.00 90.00 160.06
Fractional coordinates of all 10 atoms:
Pm1 0.1713 0.8287 0.0000
Pm2 0.8287 0.1713 0.0000
Ga1 0.0519 0.9481 0.5000
Ga2 0.2762 0.7238 0.5000
Ga3 0.4481 0.5519 0.0000
Ga4 0.5519 0.4481 0.0000
Ga5 0.7238 0.2762 0.5000
Ga6 0.9481 0.0519 0.5000
Au1 0.3819 0.6181 0.5000
Au2 0.6181 0.3819 0.5000

Computed properties:
Excess energy over the best structure of this formula in the dataset (meV per atom): 79
Formation energy (meV per atom): -515
Crystal system: orthorhombic

---

Material: Pm2Ga3Au6
Method: DFT, GGA-PBE
State: relaxed

Lattice parameters (Å, degrees): 7.7462 7.7462 4.4635 90.00 90.00 120.00
Fractional coordinates of all 11 atoms:
Pm1 0.3333 0.6667 0.0000
Pm2 0.6667 0.3333 0.0000
Ga1 0.0000 0.3710 0.5000
Ga2 0.3710 0.0000 0.5000
Ga3 0.6290 0.6290 0.5000
Au1 0.0000 0.2111 0.0000
Au2 0.0000 0.6925 0.5000
Au3 0.2111 0.0000 0.0000
Au4 0.3075 0.3075 0.5000
Au5 0.6925 0.0000 0.5000
Au6 0.7889 0.7889 0.0000

Computed properties:
Formation energy (meV per atom): -555
Crystal system: hexagonal

---

Material: Pm3Ga4Au2
Method: DFT, GGA-PBE
State: relaxed

Lattice parameters (Å, degrees): 5.9317 5.9317 8.6184 109.82 109.82 45.30
Fractional coordinates of all 9 atoms:
Pm1 0.0000 0.0000 0.0000
Pm2 0.3269 0.3269 0.3435
Pm3 0.6731 0.6731 0.6565
Ga1 0.0270 0.0270 0.3645
Ga2 0.2589 0.2589 0.9242
Ga3 0.7411 0.7411 0.0758
Ga4 0.9730 0.9730 0.6355
Au1 0.3981 0.3981 0.7285
Au2 0.6019 0.6019 0.2715

Computed properties:
Excess energy over the best structure of this formula in the dataset (meV per atom): 0
Formation energy (meV per atom): -750
Crystal system: monoclinic

---

Material: PmGa2Au8
Method: DFT, GGA-PBE
State: relaxed

Lattice parameters (Å, degrees): 4.3885 7.3932 7.8255 115.68 93.89 106.69
Fractional coordinates of all 11 atoms:
Pm1 0.0000 0.0000 0.0000
Ga1 0.2881 0.5362 0.2839
Ga2 0.7119 0.4638 0.7161
Au1 0.1446 0.1821 0.4622
Au2 0.1741 0.3760 0.8857
Au3 0.3004 0.6692 0.6954
Au4 0.4839 0.9090 0.2554
Au5 0.5161 0.0910 0.7446
Au6 0.6996 0.3308 0.3046
Au7 0.8259 0.6240 0.1143
Au8 0.8554 0.8179 0.5378

Computed properties:
Excess energy over the best structure of this formula in the dataset (meV per atom): 0
Formation energy (meV per atom): -319
Crystal system: triclinic

---

Material: PmGa8Au6
Method: DFT, GGA-PBE
State: relaxed

Lattice parameters (Å, degrees): 7.8026 7.8026 7.8026 57.36 57.36 57.36
Fractional coordinates of all 15 atoms:
Pm1 0.0000 0.0000 0.0000
Ga1 0.1325 0.4245 0.8052
Ga2 0.1948 0.8675 0.5755
Ga3 0.3370 0.3370 0.3370
Ga4 0.4245 0.8052 0.1325
Ga5 0.5755 0.1948 0.8675
Ga6 0.6630 0.6630 0.6630
Ga7 0.8052 0.1325 0.4245
Ga8 0.8675 0.5755 0.1948
Au1 0.0660 0.7187 0.4394
Au2 0.2813 0.5606 0.9340
Au3 0.4394 0.0660 0.7187
Au4 0.5606 0.9340 0.2813
Au5 0.7187 0.4394 0.0660
Au6 0.9340 0.2813 0.5606

Computed properties:
Formation energy (meV per atom): -250
Crystal system: trigonal

---

Material: PmGa5Au7
Method: DFT, GGA-PBE
State: relaxed

Lattice parameters (Å, degrees): 7.1417 7.1417 7.1417 133.42 97.48 100.51
Fractional coordinates of all 13 atoms:
Pm1 0.0000 0.0000 0.0000
Ga1 0.4825 0.4963 0.5011
Ga2 0.4825 0.9814 0.9862
Ga3 0.7540 0.2540 0.5000
Ga4 0.9952 0.4963 0.0138
Ga5 0.9952 0.9814 0.4989
Au1 0.1718 0.4759 0.6959
Au2 0.2186 0.7186 0.5000
Au3 0.3355 0.3355 0.0000
Au4 0.3407 0.0034 0.3373
Au5 0.6661 0.0034 0.6627
Au6 0.6724 0.6724 0.0000
Au7 0.7801 0.4759 0.3041

Computed properties:
Formation energy (meV per atom): -299
Crystal system: orthorhombic

---

Material: PmGaAu2
Method: DFT, GGA-PBE
State: relaxed

Lattice parameters (Å, degrees): 6.9805 4.6196 10.4044 90.00 90.00 90.00
Fractional coordinates of all 16 atoms:
Pm1 0.2401 0.2500 0.1584
Pm2 0.2599 0.7500 0.6584
Pm3 0.7401 0.2500 0.3416
Pm4 0.7599 0.7500 0.8416
Ga1 0.0809 0.2500 0.8546
Ga2 0.4191 0.7500 0.3546
Ga3 0.5809 0.2500 0.6454
Ga4 0.9191 0.7500 0.1454
Au1 0.0355 0.7500 0.3861
Au2 0.1984 0.7500 0.9537
Au3 0.3016 0.2500 0.4537
Au4 0.4645 0.2500 0.8861
Au5 0.5355 0.7500 0.1139
Au6 0.6984 0.7500 0.5463
Au7 0.8016 0.2500 0.0463
Au8 0.9645 0.2500 0.6139

Computed properties:
Formation energy (meV per atom): -711
Crystal system: orthorhombic

---

Material: PmGa3Au
Method: DFT, GGA-PBE
State: relaxed

Lattice parameters (Å, degrees): 6.2820 6.2820 6.2820 140.04 140.04 57.79
Fractional coordinates of all 5 atoms:
Pm1 0.0000 0.0000 0.0000
Ga1 0.2344 0.7344 0.5000
Ga2 0.5929 0.5929 0.0000
Ga3 0.7344 0.2344 0.5000
Au1 0.3661 0.3661 0.0000

Computed properties:
Excess energy over the best structure of this formula in the dataset (meV per atom): 0
Formation energy (meV per atom): -594
Crystal system: tetragonal

---

Material: Pm3Ga9Au2
Method: DFT, GGA-PBE
State: relaxed

Lattice parameters (Å, degrees): 8.4156 8.4156 8.4156 150.33 104.48 83.17
Fractional coordinates of all 14 atoms:
Pm1 0.0000 0.0000 0.0000
Pm2 0.3212 0.3212 0.0000
Pm3 0.6788 0.6788 0.0000
Ga1 0.0438 0.6677 0.3761
Ga2 0.1337 0.8620 0.2717
Ga3 0.2915 0.6677 0.6239
Ga4 0.4096 0.1380 0.2717
Ga5 0.5000 0.0000 0.5000
Ga6 0.5904 0.8620 0.7283
Ga7 0.7085 0.3323 0.3761
Ga8 0.8663 0.1380 0.7283
Ga9 0.9562 0.3323 0.6239
Au1 0.2789 0.5000 0.7789
Au2 0.7211 0.5000 0.2211

Computed properties:
Formation energy (meV per atom): -570
Crystal system: orthorhombic

---

Material: PmGa5Au
Method: DFT, GGA-PBE
State: relaxed

Lattice parameters (Å, degrees): 4.5270 4.5270 6.9644 90.00 90.00 90.00
Fractional coordinates of all 7 atoms:
Pm1 0.0000 0.0000 0.0000
Ga1 0.0000 0.5000 0.2915
Ga2 0.0000 0.5000 0.7085
Ga3 0.5000 0.0000 0.2915
Ga4 0.5000 0.0000 0.7085
Ga5 0.5000 0.5000 0.0000
Au1 0.0000 0.0000 0.5000

Computed properties:
Formation energy (meV per atom): -371
Crystal system: tetragonal

---

Material: Pm3Ga8Au3
Method: DFT, GGA-PBE
State: relaxed

Lattice parameters (Å, degrees): 8.4211 8.4211 8.4211 149.77 109.85 78.25
Fractional coordinates of all 14 atoms:
Pm1 0.0000 0.0000 0.0000
Pm2 0.3074 0.3074 0.0000
Pm3 0.6926 0.6926 0.0000
Ga1 0.0324 0.6626 0.3698
Ga2 0.1385 0.8586 0.2799
Ga3 0.2928 0.6626 0.6302
Ga4 0.4213 0.1414 0.2799
Ga5 0.5787 0.8586 0.7201
Ga6 0.7072 0.3374 0.3698
Ga7 0.8615 0.1414 0.7201
Ga8 0.9676 0.3374 0.6302
Au1 0.2900 0.5000 0.7900
Au2 0.5000 0.0000 0.5000
Au3 0.7100 0.5000 0.2100

Computed properties:
Excess energy over the best structure of this formula in the dataset (meV per atom): 7
Formation energy (meV per atom): -580
Crystal system: orthorhombic

---

Material: Pm2GaAu3
Method: DFT, GGA-PBE
State: relaxed

Lattice parameters (Å, degrees): 9.0991 9.0991 9.0991 154.81 153.31 37.03
Fractional coordinates of all 6 atoms:
Pm1 0.0000 0.0000 0.0000
Pm2 0.7492 0.2492 0.5000
Ga1 0.5847 0.5847 0.0000
Au1 0.1647 0.6647 0.5000
Au2 0.3244 0.8244 0.5000
Au3 0.4338 0.4338 0.0000

Computed properties:
Excess energy over the best structure of this formula in the dataset (meV per atom): 88
Formation energy (meV per atom): -697
Crystal system: orthorhombic

---

Material: PmGa2Au8
Method: DFT, GGA-PBE
State: relaxed

Lattice parameters (Å, degrees): 5.6081 5.6081 8.2759 90.00 90.00 90.00
Fractional coordinates of all 11 atoms:
Pm1 0.0000 0.0000 0.0000
Ga1 0.0000 0.5000 0.5000
Ga2 0.5000 0.0000 0.5000
Au1 0.2539 0.2539 0.2773
Au2 0.2539 0.2539 0.7227
Au3 0.2539 0.7461 0.2773
Au4 0.2539 0.7461 0.7227
Au5 0.7461 0.2539 0.2773
Au6 0.7461 0.2539 0.7227
Au7 0.7461 0.7461 0.2773
Au8 0.7461 0.7461 0.7227

Computed properties:
Excess energy over the best structure of this formula in the dataset (meV per atom): 195
Formation energy (meV per atom): -124
Crystal system: tetragonal

---

Material: Pm2GaAu
Method: DFT, GGA-PBE
State: relaxed

Lattice parameters (Å, degrees): 6.0659 4.5465 8.0805 90.00 110.30 90.00
Fractional coordinates of all 8 atoms:
Pm1 0.2144 0.2500 0.4338
Pm2 0.2226 0.2500 0.9193
Pm3 0.7774 0.7500 0.0807
Pm4 0.7856 0.7500 0.5662
Ga1 0.3242 0.7500 0.2060
Ga2 0.6758 0.2500 0.7940
Au1 0.3555 0.7500 0.7086
Au2 0.6445 0.2500 0.2914

Computed properties:
Formation energy (meV per atom): -666
Crystal system: monoclinic

---

Material: PmGa3Au5
Method: DFT, GGA-PBE
State: relaxed

Lattice parameters (Å, degrees): 6.8927 6.8927 15.0445 90.00 90.00 149.26
Fractional coordinates of all 18 atoms:
Pm1 0.1961 0.8039 0.7500
Pm2 0.8039 0.1961 0.2500
Ga1 0.0724 0.9276 0.2500
Ga2 0.3463 0.6537 0.0195
Ga3 0.3463 0.6537 0.4805
Ga4 0.6537 0.3463 0.5195
Ga5 0.6537 0.3463 0.9805
Ga6 0.9276 0.0724 0.7500
Au1 0.0000 0.0000 0.0000
Au2 0.0000 0.0000 0.5000
Au3 0.1835 0.8165 0.1116
Au4 0.1835 0.8165 0.3884
Au5 0.4723 0.5277 0.1536
Au6 0.4723 0.5277 0.3464
Au7 0.5277 0.4723 0.6536
Au8 0.5277 0.4723 0.8464
Au9 0.8165 0.1835 0.6116
Au10 0.8165 0.1835 0.8884

Computed properties:
Formation energy (meV per atom): -380
Crystal system: orthorhombic

---

Material: PmGaAu2
Method: DFT, GGA-PBE
State: relaxed

Lattice parameters (Å, degrees): 4.5806 4.5806 4.1470 90.00 90.00 90.00
Fractional coordinates of all 4 atoms:
Pm1 0.0000 0.0000 0.0000
Ga1 0.5000 0.5000 0.0000
Au1 0.0000 0.5000 0.5000
Au2 0.5000 0.0000 0.5000

Computed properties:
Formation energy (meV per atom): -523
Crystal system: tetragonal

---

Material: Pm4Ga3Au
Method: DFT, GGA-PBE
State: relaxed

Lattice parameters (Å, degrees): 5.1631 5.1631 7.5169 90.00 90.00 90.00
Fractional coordinates of all 8 atoms:
Pm1 0.0000 0.5000 0.2484
Pm2 0.0000 0.5000 0.7516
Pm3 0.5000 0.0000 0.2484
Pm4 0.5000 0.0000 0.7516
Ga1 0.0000 0.0000 0.0000
Ga2 0.0000 0.0000 0.5000
Ga3 0.5000 0.5000 0.0000
Au1 0.5000 0.5000 0.5000

Computed properties:
Excess energy over the best structure of this formula in the dataset (meV per atom): 25
Formation energy (meV per atom): -595
Crystal system: tetragonal

---

Material: PmGa2Au
Method: DFT, GGA-PBE
State: relaxed

Lattice parameters (Å, degrees): 4.3807 4.3807 4.3717 90.00 90.00 90.00
Fractional coordinates of all 4 atoms:
Pm1 0.0000 0.0000 0.0000
Ga1 0.0000 0.5000 0.5000
Ga2 0.5000 0.0000 0.5000
Au1 0.5000 0.5000 0.0000

Computed properties:
Excess energy over the best structure of this formula in the dataset (meV per atom): 133
Formation energy (meV per atom): -542
Crystal system: tetragonal

---

Number 1: E_tot -3.72 eV per atom. Number 2: E_tot -4.14 eV per atom. Number 3: E_tot -3.94 eV per atom. Number 4: E_tot -4.03 eV per atom. Number 5: E_tot -4.41 eV per atom. Number 6: E_tot -3.68 eV per atom. Number 7: E_tot -3.49 eV per atom. Number 8: E_tot -3.59 eV per atom. Number 9: E_tot -4.29 eV per atom. Number 10: E_tot -4.02 eV per atom. Number 11: E_tot -4.00 eV per atom. Number 12: E_tot -3.68 eV per atom. Number 13: E_tot -4.03 eV per atom. Number 14: E_tot -4.42 eV per atom. Number 15: E_tot -3.49 eV per atom. Number 16: E_tot -4.62 eV per atom. Number 17: E_tot -3.74 eV per atom. Number 18: E_tot -4.11 eV per atom. Number 19: E_tot -4.51 eV per atom. Number 20: E_tot -4.06 eV per atom.